Entry 1:
PBE-GGA Pm5Sm4Tm, optimized geometry; calculated formation energy = 0.02 eV per atom; size of the total moment = 0.0000 μB per atom; calculated density = 7.359 g/cm³; crystal system = tetragonal; excess energy over the best structure of this formula in the dataset = 0.000 eV/atom
1.0
3.6365 0.0000 0.0000
0.0000 3.6365 0.0000
0.0000 0.0000 25.5162
Pm Sm Tm
5 4 1
direct
0.0000 0.0000 0.0000
0.0000 0.0000 0.2018
0.0000 0.0000 0.4032
0.0000 0.0000 0.5968
0.0000 0.0000 0.7982
0.5000 0.5000 0.1010
0.5000 0.5000 0.3027
0.5000 0.5000 0.6973
0.5000 0.5000 0.8990
0.5000 0.5000 0.5000

=====

Entry 2:
PBE-GGA Be2Pd7Au, optimized geometry; calculated formation energy = 0.04 eV per atom; size of the total moment = 0.0000 μB per atom; calculated density = 9.726 g/cm³; crystal system = orthorhombic
1.0
3.5870 -5.4817 0.0000
3.5870 5.4817 0.0000
0.0000 0.0000 4.1676
Be Pd Au
2 7 1
direct
0.1999 0.8001 0.0000
0.8001 0.1999 0.0000
0.0000 0.0000 0.0000
0.1783 0.4377 0.0000
0.2376 0.7624 0.5000
0.4377 0.1783 0.0000
0.5623 0.8217 0.0000
0.7624 0.2376 0.5000
0.8217 0.5623 0.0000
0.5000 0.5000 0.5000

=====

Entry 3:
PBE-GGA Pm3Pr2Ho, optimized geometry; calculated formation energy = 0.15 eV per atom; size of the total moment = 0.0000 μB per atom; calculated density = 7.028 g/cm³; crystal system = monoclinic; excess energy over the best structure of this formula in the dataset = 0.000 eV/atom
1.0
18.2510 0.0000 0.0000
0.0000 3.4972 0.0000
-1.4879 0.0000 6.5276
Pm Pr Ho
6 4 2
direct
0.0000 0.0000 0.0000
0.1701 0.0000 0.3599
0.3299 0.5000 0.6401
0.5000 0.5000 0.0000
0.6701 0.5000 0.3599
0.8299 0.0000 0.6401
0.1608 0.5000 0.8485
0.3392 0.0000 0.1515
0.6608 0.0000 0.8485
0.8392 0.5000 0.1515
0.0000 0.0000 0.5000
0.5000 0.5000 0.5000